Compound: Li4Mn3SnP4O16
Source: Alexandria
Functional: GGA+U
Structure: optimized geometry

POSCAR file:
```
Li4Mn3SnP4O16
1.0
4.8465 0.0000 0.0072
0.0000 6.2902 0.0000
-0.0352 0.0000 10.8538
Li Mn Sn P O
4 3 1 4 16
Direct
0.9996 0.7462 0.0094
0.9996 0.2538 0.0094
0.4835 0.2622 0.4842
0.4835 0.7378 0.4842
0.5366 0.0000 0.7852
0.4601 0.5000 0.2136
0.9688 0.0000 0.2767
0.0208 0.5000 0.7160
0.8998 0.5000 0.3957
0.5794 0.5000 0.9255
0.4060 0.0000 0.0929
0.1231 0.0000 0.5877
0.7705 0.5000 0.5272
0.8122 0.0000 0.6111
0.7235 0.0000 0.0992
0.7208 0.5000 0.0546
0.2867 0.0000 0.9596
0.2633 0.5000 0.9340
0.2183 0.5000 0.3955
0.2076 0.0000 0.4489
0.7731 0.6990 0.3292
0.7731 0.3010 0.3292
0.6955 0.7002 0.8557
0.6955 0.2998 0.8557
0.2745 0.1965 0.1616
0.2745 0.8035 0.1616
0.2748 0.1952 0.6483
0.2748 0.8048 0.6483
```

Values from the calculation:
VASP energy: -195.58 eV per formula unit
Space group: Pm